A plane-wave DFT calculation with PBE was carried out for LaDyYCu after structural relaxation.

DOS(E_F)	4.12	states/eV/f.u.
ρ	6.8	g/cm3
formation energy from the elements	-93	meV/atom

Cell: 3.5438 3.5438 8.8510 Å, 90.00 90.00 90.00°
Last column: nearest neighbours and their distance in Å.
Element x y z (fractional)
La  0.0000  0.0000  0.0000  4 La 3.54, 4 Dy 3.72, 4 Y 3.74
Dy  0.5000  0.5000  0.3099  4 Cu 2.99, 1 Y 3.33
Y  0.5000  0.5000  0.6858  4 Cu 3.03, 1 Dy 3.33
Cu  0.0000  0.0000  0.4942  4 Dy 2.99, 4 Y 3.03

***

A plane-wave DFT calculation with PBE was carried out for LaDyZnCu after structural relaxation.

DOS(E_F)	2.56	states/eV/f.u.
distance to the lowest polymorph of the same formula	21	meV per atom
ρ	7.5	g/cm3
formation energy from the elements	-234	meV/atom

Cell: 7.2492 7.2492 7.2492 Å, 90.00 90.00 90.00°
Last column: nearest neighbours and their distance in Å.
Element x y z (fractional)
La  0.0000  0.0000  0.0000  4 Cu 3.14, 4 Zn 3.14
La  0.0000  0.5000  0.5000  4 Zn 3.14, 4 Cu 3.14
La  0.5000  0.0000  0.5000  4 Zn 3.14, 4 Cu 3.14
La  0.5000  0.5000  0.0000  4 Zn 3.14, 4 Cu 3.14
Dy  0.0000  0.0000  0.5000  4 Cu 3.14, 4 Zn 3.14
Dy  0.0000  0.5000  0.0000  4 Cu 3.14, 4 Zn 3.14
Dy  0.5000  0.0000  0.0000  4 Cu 3.14, 4 Zn 3.14
Dy  0.5000  0.5000  0.5000  4 Cu 3.14, 4 Zn 3.14
Zn  0.2500  0.2500  0.2500  4 La 3.14, 4 Dy 3.14
Zn  0.2500  0.7500  0.7500  4 La 3.14, 4 Dy 3.14
Zn  0.7500  0.2500  0.7500  4 La 3.14, 4 Dy 3.14
Zn  0.7500  0.7500  0.2500  4 La 3.14, 4 Dy 3.14
Cu  0.2500  0.2500  0.7500  4 La 3.14, 4 Dy 3.14
Cu  0.2500  0.7500  0.2500  4 La 3.14, 4 Dy 3.14
Cu  0.7500  0.2500  0.2500  4 La 3.14, 4 Dy 3.14
Cu  0.7500  0.7500  0.7500  4 Dy 3.14, 4 La 3.14

***

A plane-wave DFT calculation with PBE was carried out for LaDyZnCu after structural relaxation.

DOS(E_F)	3.57	states/eV/f.u.
distance to the lowest polymorph of the same formula	0	meV per atom
ρ	7.6	g/cm3
formation energy from the elements	-255	meV/atom

Cell: 3.5956 3.5956 7.3048 Å, 90.00 90.00 90.00°
Last column: nearest neighbours and their distance in Å.
Element x y z (fractional)
La  0.0000  0.0000  0.0000  4 Cu 3.26, 4 Zn 3.26, 1 Dy 3.55, 4 La 3.60
Dy  0.0000  0.0000  0.4860  4 Cu 2.96, 4 Zn 3.07
Zn  0.5000  0.5000  0.7206  4 Dy 3.07, 1 Cu 3.23, 4 La 3.26
Cu  0.5000  0.5000  0.2788  4 Dy 2.96, 1 Zn 3.23, 4 La 3.26

***

A plane-wave DFT calculation with PBE was carried out for Li3DyCu3 after structural relaxation.

DOS(E_F)	3.34	states/eV/f.u.
ρ	4.9	g/cm3
formation energy from the elements	395	meV/atom

Cell: 6.3485 6.3485 6.3485 Å, 90.00 90.00 90.00°
Last column: nearest neighbours and their distance in Å.
Element x y z (fractional)
Li  0.0000  0.2500  0.5000  4 Cu 2.24
Li  0.0000  0.7500  0.5000  4 Cu 2.24
Li  0.2500  0.5000  0.0000  4 Cu 2.24
Li  0.5000  0.0000  0.2500  4 Cu 2.24
Li  0.5000  0.0000  0.7500  4 Cu 2.24
Li  0.7500  0.5000  0.0000  4 Cu 2.24
Dy  0.0000  0.0000  0.0000  12 Li 3.55, 12 Cu 3.55
Dy  0.5000  0.5000  0.5000  12 Li 3.55, 12 Cu 3.55
Cu  0.0000  0.5000  0.2500  4 Li 2.24
Cu  0.0000  0.5000  0.7500  4 Li 2.24
Cu  0.2500  0.0000  0.5000  4 Li 2.24
Cu  0.5000  0.2500  0.0000  4 Li 2.24
Cu  0.5000  0.7500  0.0000  4 Li 2.24
Cu  0.7500  0.0000  0.5000  4 Li 2.24

***

A plane-wave DFT calculation with PBE was carried out for LiDy6Cu5 after structural relaxation.

DOS(E_F)	6.03	states/eV/f.u.
ρ	8.4	g/cm3
formation energy from the elements	-194	meV/atom

Cell: 7.8462 7.8462 6.9392 Å, 90.00 90.00 143.27°
Last column: nearest neighbours and their distance in Å.
Element x y z (fractional)
Li  0.0000  0.0000  0.0000  8 Dy 3.06-3.08, 4 Cu 3.40
Dy  0.1702  0.8298  0.2526  7 Cu 2.96-3.11, 1 Li 3.08
Dy  0.1702  0.8298  0.7474  7 Cu 2.96-3.11, 1 Li 3.08
Dy  0.5000  0.5000  0.2591  6 Cu 2.95-3.01, 2 Li 3.06
Dy  0.5000  0.5000  0.7409  6 Cu 2.95-3.01, 2 Li 3.06
Dy  0.8298  0.1702  0.2526  7 Cu 2.96-3.11, 1 Li 3.08
Dy  0.8298  0.1702  0.7474  7 Cu 2.96-3.11, 1 Li 3.08
Cu  0.0000  0.0000  0.5000  8 Dy 2.98-3.06
Cu  0.3322  0.6678  0.5000  8 Dy 2.96-3.01
Cu  0.3430  0.6570  0.0000  8 Dy 2.95-3.11
Cu  0.6570  0.3430  0.0000  8 Dy 2.95-3.11
Cu  0.6678  0.3322  0.5000  8 Dy 2.96-3.01

***

A plane-wave DFT calculation with PBE was carried out for LiDyCu4 after structural relaxation.

DOS(E_F)	7.67	states/eV/f.u.
ρ	7.7	g/cm3
formation energy from the elements	-181	meV/atom

Cell: 5.0521 5.0521 5.0521 Å, 60.00 60.00 60.00°
Last column: nearest neighbours and their distance in Å.
Element x y z (fractional)
Li  0.0000  0.0000  0.0000  12 Cu 2.96, 4 Dy 3.09
Dy  0.2500  0.2500  0.2500  12 Cu 2.96, 4 Li 3.09
Cu  0.1211  0.6263  0.6263  6 Cu 2.50-2.55
Cu  0.6263  0.1211  0.6263  6 Cu 2.50-2.55
Cu  0.6263  0.6263  0.1211  6 Cu 2.50-2.55
Cu  0.6263  0.6263  0.6263  6 Cu 2.50-2.55